A PBEsol-optimized structure of MnBe3, computed with SCAN.

Geometry as extended XYZ:
```
8
Lattice="2.4175 0.0000 0.0000 0.0000 3.6961 0.0000 0.0000 0.0000 7.5181" Properties=species:S:1:pos:R:3 pbc="T T T"
Mn 0.0000 0.0000 0.0000
Mn 1.2088 1.8480 3.7591
Be 0.0000 0.0000 3.7591
Be 0.0000 1.8480 1.7923
Be 0.0000 1.8480 5.7258
Be 1.2088 0.0000 1.9668
Be 1.2088 0.0000 5.5514
Be 1.2088 1.8480 0.0000
```

- space group = Immm, No. 71
- energy of formation (eV/atom) = 0.000